No. 1
# PBEsol NdAlCu, optimized geometry
data_NdAlCu
_symmetry_space_group_name_H-M 'P -6 2 m'
_symmetry_Int_Tables_number 189
_symmetry_space_group_name_Hall 'P -6 -2'
_cell_length_a 7.0583
_cell_length_b 7.0583
_cell_length_c 4.1126
_cell_angle_alpha 90.00
_cell_angle_beta 90.00
_cell_angle_gamma 120.00
loop_
_atom_site_label
_atom_site_fract_x
_atom_site_fract_y
_atom_site_fract_z
Nd1 0.0000 0.5817 0.0000
Al1 0.0000 0.2313 0.5000
Cu1 0.0000 0.0000 0.0000
Cu2 0.3333 0.6667 0.5000
# calculated volume	177.44	Å³ per cell

---

No. 2
# PBEsol NdAlCu4, optimized geometry
data_NdAlCu4
_symmetry_space_group_name_H-M 'P -6 m 2'
_symmetry_Int_Tables_number 187
_symmetry_space_group_name_Hall 'P -6 2'
_cell_length_a 5.1928
_cell_length_b 5.1928
_cell_length_c 3.9655
_cell_angle_alpha 90.00
_cell_angle_beta 90.00
_cell_angle_gamma 120.00
loop_
_atom_site_label
_atom_site_fract_x
_atom_site_fract_y
_atom_site_fract_z
Nd1 0.0000 0.0000 0.0000
Al1 0.6667 0.3333 0.0000
Cu1 0.0028 0.5014 0.5000
Cu2 0.3333 0.6667 0.0000
# calculated volume	92.61	Å³ per cell

---

Number 1: total moment 0.001 μB per cell, calculated formation energy -0.38 eV/atom. Number 2: total moment 0.000 μB per cell, calculated formation energy -0.22 eV/atom.